This record from the Open Quantum Materials Database describes a relaxed PrAgPbSe3 crystal. The functional is PBE.

```
PrAgPbSe3
1.0
13.898 0.000 0.000
0.000 4.223 0.000
0.000 0.000 11.313
Ag Pr Se Pb
4 4 12 4
Direct
0.994 0.250 0.412
0.494 0.250 0.088
0.506 0.750 0.912
0.006 0.750 0.588
0.514 0.250 0.674
0.486 0.750 0.326
0.986 0.750 0.174
0.014 0.250 0.826
0.620 0.750 0.119
0.889 0.750 0.937
0.389 0.750 0.563
0.880 0.250 0.619
0.350 0.250 0.244
0.850 0.250 0.256
0.150 0.750 0.744
0.650 0.750 0.756
0.111 0.250 0.063
0.611 0.250 0.437
0.380 0.250 0.881
0.120 0.750 0.381
0.223 0.250 0.546
0.723 0.250 0.954
0.277 0.750 0.046
0.777 0.750 0.454
```

Summary:
Spin magnetization, μB/atom: 0.00
SG: Pnma, No. 62
DFT total energy, eV per formula unit: -27.6